DFT (GGA-PBE) results for Rb3Pb5Cl12 after structural relaxation.

a = 18.288 Å, b = 18.288 Å, c = 18.288 Å
α = 90.00°, β = 90.00°, γ = 90.00°
Space group Ia-3d (No. 230)
Unique sites:
Rb1 0.000 0.250 0.125 x24
Pb1 0.000 0.000 0.000 x16
Pb2 0.000 0.250 0.375 x24
Cl1 0.026 0.059 0.647 x96

## Properties
Its density of states at the Fermi level is 8.314 states/eV/f.u. As for the uncorrected formation energy: -1.276 eV/atom.

DFT (GGA-PBE) results for Hf2HPdRu after structural relaxation.

a = 4.469 Å, b = 4.469 Å, c = 3.658 Å
α = 90.00°, β = 90.00°, γ = 90.00°
Space group P4/mmm (No. 123)
Unique sites:
Hf1 0.000 0.500 0.000 x2
H1 0.000 0.000 0.000 x1
Pd1 0.000 0.000 0.500 x1
Ru1 0.500 0.500 0.500 x1

## Properties
Its density of states at the Fermi level is 3.810 states/eV/f.u. The energy above the most stable polymorph in this dataset is 0.17 eV per formula unit.

Computed volume, in the same sequence as the records: 38.23, 14.61 Å³/atom.